This record from the Alexandria database describes Er3Tl4CrSe8 after structural relaxation. The functional is PBE.

Computed properties:
For the spin magnetization, the calculation gives 9.0 μB per cell. For the electronic total energy, the calculation gives -4.91 eV per atom.

Lattice parameters (Å, degrees): 8.1341 8.1341 23.2712 90.00 90.00 120.00
Space group R-3m (No. 166, hexagonal axes)
Inequivalent atoms, fractional coordinates:
Er: 0.0000 0.5000 0.0000
Tl: 0.0000 0.0000 0.5000
Tl: 0.0000 0.5000 0.5000
Cr: 0.0000 0.0000 0.0000
Se: 0.0000 0.0000 0.2648
Se: 0.0204 0.5102 0.7314